The following is a GGA-PBE calculation of an optimized crystal structure of LaPr2Cd3Au3, from OQMD via LeMat-Bulk.

Properties
* DFT total energy: -0.134 hartree per atom
* space-group type: Amm2 (38)
* DFT formation energy: -0.66 eV/atom
* volume: 225 Å³ per cell
* size of the total moment: 0.0 μB/f.u.

Geometry as POSCAR:
```
LaPr2Cd3Au3
1.0
-2.629 -1.975 -2.419
2.022 -6.912 3.446
-6.003 4.336 2.983
Au Cd La Pr
3 3 1 2
direct
0.000 0.001 0.001
0.500 0.667 0.333
0.500 0.333 0.667
0.500 0.998 0.255
0.500 0.747 0.747
0.500 0.255 0.998
0.000 0.407 0.407
0.000 0.999 0.593
0.000 0.593 0.999
```